Computed, not measured: a relaxed MgFe2O4 crystal at the GGA+U level of DFT.

Unit cell a=5.9152 b=6.0245 c=8.1897 alpha=90.00 beta=90.00 gamma=90.00
Closest atoms and distances in Å follow each position.
Space group Imma (No. 74)
Unique sites:
Mg: 0.0000 0.0000 0.0000 (multiplicity 4)  6 O 2.09-2.14
Fe: 0.0000 0.0000 0.5000 (multiplicity 4)  6 O 2.03-2.09
Fe: 0.2500 0.2500 0.2500 (multiplicity 4)  6 O 1.96-1.97
O: 0.0000 0.0357 0.2537 (multiplicity 8)  3 Fe 1.96-2.03, 1 Mg 2.09
O: 0.2440 0.2500 0.4909 (multiplicity 8)  3 Fe 1.97-2.09, 2 Mg 2.14

Output
E_tot   -6.2524 eV/atom